PBE-GGA PmPa4Tc5, relaxed; space group = No. 123; E_form = -0.156 eV per atom; raw total energy = -9.61 eV/atom; crystal system = tetragonal
1.0
-1.2050 2.6434 -1.8802
-3.1622 -1.4045 0.0521
-3.6283 8.7089 14.5691
Pm Pa Tc
1 4 5
Direct
0.0000 0.0000 0.0000
0.0000 0.0000 0.2021
0.0000 0.0000 0.4022
0.0000 0.0000 0.5978
0.0000 0.0000 0.7979
0.5000 0.5000 0.1239
0.5000 0.5000 0.3041
0.5000 0.5000 0.5000
0.5000 0.5000 0.6959
0.5000 0.5000 0.8761



PBE-GGA PmPa2Tc, relaxed; space group = No. 123; E_form = 0.077 eV per atom; raw total energy = -8.45 eV/atom; crystal system = tetragonal; energy above the most stable polymorph in this dataset = 0 meV/atom
1.0
-1.0529 -3.0328 0.9732
1.9212 0.2128 2.7417
-6.6644 3.7196 4.3812
Pa Tc Pm
2 1 1
Direct
0.0000 0.0000 0.8010
0.0000 0.0000 0.1990
0.5000 0.5000 0.0000
0.5000 0.5000 0.5000



PBE-GGA PmPaTc, relaxed; space group = No. 107; E_form = -0.099 eV per atom; raw total energy = -8.30 eV/atom; crystal system = tetragonal; energy above the most stable polymorph in this dataset = 0 meV/atom
1.0
-3.2933 1.0668 0.5758
-1.0312 -1.5893 -2.9540
1.1204 -4.5483 4.1404
Pa Tc Pm
1 1 1
Direct
0.3018 0.3018 0.6037
0.6961 0.6961 0.3922
0.0021 0.0021 0.0041



PBE-GGA PmPa2Tc, relaxed; space group = No. 166; E_form = 0.286 eV per atom; raw total energy = -8.24 eV/atom; crystal system = trigonal; energy above the most stable polymorph in this dataset = 209 meV/atom
1.0
4.7244 0.0000 0.0000
2.3622 4.0915 0.0000
2.3622 1.3638 4.9441
Pa Tc Pm
2 1 1
Direct
0.7613 0.7613 0.7162
0.2387 0.2387 0.2838
0.5000 0.5000 0.5000
0.0000 0.0000 0.0000



PBE-GGA PmPaTc, relaxed; space group = No. 51; E_form = 0.230 eV per atom; raw total energy = -7.97 eV/atom; crystal system = orthorhombic; energy above the most stable polymorph in this dataset = 329 meV/atom
1.0
-2.9386 -1.4568 1.4557
-2.3456 -1.3271 -6.0631
3.0167 -5.9500 0.1353
Tc Pa Pm
2 2 2
Direct
0.5000 0.7500 0.7000
0.5000 0.2500 0.3000
0.0000 0.2500 0.5486
0.0000 0.7500 0.4514
0.0000 0.0000 0.0000
0.0000 0.5000 0.0000



PBE-GGA PmPa2Tc, relaxed; space group = No. 123; E_form = 0.347 eV per atom; raw total energy = -8.18 eV/atom; crystal system = tetragonal; energy above the most stable polymorph in this dataset = 270 meV/atom
1.0
3.3889 0.0000 0.0000
0.0000 5.2263 0.0000
0.0000 0.0000 5.2263
Pa Tc Pm
2 1 1
Direct
0.0000 0.0000 0.5000
0.0000 0.5000 0.0000
0.5000 0.5000 0.5000
0.5000 0.0000 0.0000



PBE-GGA PmPa2Tc3, relaxed; space group = No. 123; E_form = -0.160 eV per atom; raw total energy = -9.30 eV/atom; crystal system = tetragonal
1.0
3.4657 0.0000 0.0000
0.0000 3.4657 0.0000
0.0000 0.0000 10.4923
Pm Pa Tc
1 2 3
Direct
0.5000 0.5000 0.5000
0.5000 0.5000 0.8328
0.5000 0.5000 0.1672
0.0000 0.0000 0.0000
0.0000 0.0000 0.7048
0.0000 0.0000 0.2952



PBE-GGA Pm2PaTe6, relaxed; space group = No. 136; raw total energy = -5.16 eV/atom; crystal system = tetragonal; formation energy without anion corrections = -0.956 eV per atom
1.0
7.3618 0.0000 0.0000
0.0000 7.3618 0.0000
0.0000 0.0000 13.5360
Pm Pa Te
4 2 12
Direct
0.0000 0.0000 0.3330
0.5000 0.5000 0.8330
0.5000 0.5000 0.1670
0.0000 0.0000 0.6670
0.0000 0.0000 0.0000
0.5000 0.5000 0.5000
0.3012 0.3012 0.3416
0.6988 0.6988 0.3416
0.1988 0.8012 0.8416
0.8012 0.1988 0.8416
0.1988 0.8012 0.1584
0.8012 0.1988 0.1584
0.3012 0.3012 0.6584
0.6988 0.6988 0.6584
0.2889 0.2889 0.0000
0.7111 0.7111 0.0000
0.2111 0.7889 0.5000
0.7889 0.2111 0.5000